Below is an optimized crystal structure of Be3TlNi, with properties calculated at the GGA-PBE level.

Geometry as CIF:
```
data_Be3TlNi
_chemical_formula_sum 'Be3 Tl1 Ni1'
_symmetry_space_group_name_H-M 'P 1'
_symmetry_Int_Tables_number 1
_symmetry_space_group_name_Hall 'P 1'
_cell_length_a 4.134
_cell_length_b 4.134
_cell_length_c 4.134
_cell_angle_alpha 90.00
_cell_angle_beta 90.00
_cell_angle_gamma 90.00
loop_
_atom_site_label
_atom_site_type_symbol
_atom_site_fract_x
_atom_site_fract_y
_atom_site_fract_z
_atom_site_occupancy
Be1 Be 0.500 0.000 0.000 1
Be2 Be 0.000 0.000 0.500 1
Be3 Be 0.000 0.500 0.000 1
Ni1 Ni 0.000 0.000 0.000 1
Tl1 Tl 0.500 0.500 0.500 1
```

Output
- E_form (kJ per mole of atoms) = 44.02
- E above lowest polymorph (meV/atom) = 0
- theoretical density (g/cm³) = 6.82

Below is an optimized crystal structure of SrTl2BiI, with properties calculated at the GGA-PBE level.

Geometry as CIF:
```
data_SrTl2BiI
_chemical_formula_sum 'Sr1 Tl2 Bi1 I1'
_symmetry_space_group_name_H-M 'P 1'
_symmetry_Int_Tables_number 1
_symmetry_space_group_name_Hall 'P 1'
_cell_length_a 6.235
_cell_length_b 6.465
_cell_length_c 6.235
_cell_angle_alpha 90.00
_cell_angle_beta 90.00
_cell_angle_gamma 90.00
loop_
_atom_site_label
_atom_site_type_symbol
_atom_site_fract_x
_atom_site_fract_y
_atom_site_fract_z
_atom_site_occupancy
Sr1 Sr 0.000 0.500 0.000 1
I1 I 0.500 0.500 0.500 1
Tl1 Tl 0.000 0.000 0.500 1
Tl2 Tl 0.500 0.000 0.000 1
Bi1 Bi 0.000 0.000 0.000 1
```

Output
- formation energy (no corrections) (eV/atom) = -0.203
- theoretical density (g/cm³) = 5.50

no.,D(E_F) (states/eV/atom),uncorrected energy (eV per atom)
1,0.307,-3.4090
2,0.530,-2.5724